Material: ErPu3Hg4
Method: DFT, PBE
State: relaxed

```
ErPu3Hg4
1.0
3.478 0.000 0.000
0.000 3.478 0.000
0.000 0.000 17.004
Er Pu Hg
1 3 4
direct
0.000 0.000 0.000
0.000 0.000 0.245
0.000 0.000 0.500
0.000 0.000 0.755
0.500 0.500 0.115
0.500 0.500 0.373
0.500 0.500 0.627
0.500 0.500 0.885
```

Computed properties:
Symmetry: P4/mmm
ΔE_f, meV per atom: -191
Spin magnetization, μB per formula unit: 17.9

Material: CaAc4In4
Method: DFT, PBE
State: relaxed

```
CaAc4In4
1.0
9.961 0.000 0.000
0.000 9.961 0.000
0.000 0.000 6.952
Ca Ac In
2 8 8
direct
0.250 0.250 0.250
0.750 0.750 0.750
0.050 0.664 0.116
0.164 0.950 0.616
0.336 0.550 0.616
0.450 0.836 0.116
0.550 0.164 0.884
0.664 0.450 0.384
0.836 0.050 0.384
0.950 0.336 0.884
0.012 0.632 0.601
0.132 0.988 0.101
0.368 0.512 0.101
0.488 0.868 0.601
0.512 0.132 0.399
0.632 0.488 0.899
0.868 0.012 0.899
0.988 0.368 0.399
```

Computed properties:
Symmetry: P4_2/n
ΔE_f, meV per atom: -241
Spin magnetization, μB per formula unit: 0.0

Material: AlCuPt
Method: DFT, PBE
State: relaxed

```
AlCuPt
1.0
3.923 0.000 0.000
0.000 10.896 0.000
0.000 0.000 3.965
Al Cu Pt
4 4 4
direct
0.000 0.249 0.250
0.000 0.751 0.750
0.500 0.251 0.750
0.500 0.749 0.250
0.000 0.425 0.750
0.000 0.575 0.250
0.500 0.075 0.250
0.500 0.925 0.750
0.000 0.104 0.750
0.000 0.896 0.250
0.500 0.396 0.250
0.500 0.604 0.750
```

Computed properties:
Symmetry: Cmcm
ΔE_f, meV per atom: -619
Spin magnetization, μB per formula unit: 0.0
ΔE to the lowest computed polymorph, meV per atom: 38

Material: Co2AgAs
Method: DFT, PBE
State: relaxed

```
Co2AgAs
1.0
7.211 0.000 0.000
0.000 2.850 0.000
-1.017 0.000 5.598
Co Ag As
4 2 2
direct
0.241 0.000 0.191
0.259 0.500 0.809
0.741 0.500 0.191
0.759 0.000 0.809
0.000 0.000 0.500
0.500 0.500 0.500
0.000 0.500 0.000
0.500 0.000 0.000
```

Computed properties:
Symmetry: C2/m
ΔE_f, meV per atom: 241
Spin magnetization, μB per formula unit: 1.3